(1)
VASP calculation (PBE) on Sc2ZnAs after structural relaxation.

Results
Calculated formation energy (eV per atom): -0.446
Spin magnetization (μB/f.u.): 0.00
Polymorph energy (0 for the lowest one) (kJ/mol of atoms): 34.0

Unit cell a=7.2576 b=7.2576 c=6.0569 alpha=53.19 beta=53.19 gamma=90.00
With the nearest neighbours (Å) after each atom.
Positions (direct):
Sc (0.8750, 0.8842, 0.7500)  2 As 2.64, 2 Zn 2.73
Sc (0.3750, 0.3658, 0.7500)  2 As 2.64, 2 Zn 2.73
Zn (0.5000, 0.5000, 0.0000)  4 Sc 2.73
As (0.7500, 0.2500, 0.5000)  4 Sc 2.64
Sc (0.1158, 0.6250, 0.2500)  2 As 2.64, 2 Zn 2.73
Zn (0.2500, 0.7500, 0.5000)  4 Sc 2.73
As (0.0000, 0.0000, 0.0000)  4 Sc 2.64
Sc (0.6342, 0.1250, 0.2500)  2 As 2.64, 2 Zn 2.73


(2)
VASP calculation (PBE) on Cs2BAuF6 after structural relaxation.

Results
Formation energy (no corrections) (kJ per mole of atoms): -209
Spin magnetization (μB/f.u.): 0.14

Unit cell a=6.5368 b=6.5368 c=6.4720 alpha=59.67 beta=59.67 gamma=90.00
With the nearest neighbours (Å) after each atom.
Positions (direct):
Cs (0.2500, 0.7500, 0.5000)  12 F 3.28-3.34
F (0.3373, 0.3373, 0.0000)  1 B 1.50
B (0.5000, 0.5000, 0.0000)  4 F 1.50
F (0.2237, 0.2237, 0.5526)  1 Au 2.03
F (0.7763, 0.7763, 0.4474)  1 Au 2.03
F (0.6627, 0.3373, 0.0000)  1 B 1.50
Cs (0.7500, 0.2500, 0.5000)  12 F 3.28-3.34
F (0.6627, 0.6627, 0.0000)  1 B 1.50
Au (0.0000, 0.0000, 0.0000)  2 F 2.03
F (0.3373, 0.6627, 0.0000)  1 B 1.50


(3)
VASP calculation (PBE) on NaTc4Sb12 after structural relaxation.

Results
Formation energy (no corrections) (kJ per mole of atoms): 2
Spin magnetization (μB/f.u.): 1.83

Unit cell a=8.2371 b=8.2371 c=8.2371 alpha=109.47 beta=109.47 gamma=109.47
With the nearest neighbours (Å) after each atom.
Positions (direct):
Sb (0.3385, 0.4967, 0.1583)  2 Tc 2.67
Sb (0.1583, 0.3385, 0.4967)  2 Tc 2.67
Sb (0.8417, 0.6615, 0.5033)  2 Tc 2.67
Sb (0.4967, 0.1583, 0.3385)  2 Tc 2.67
Tc (0.5000, 0.0000, 0.0000)  6 Sb 2.67
Sb (0.1802, 0.8417, 0.3385)  2 Tc 2.67
Sb (0.5033, 0.8417, 0.6615)  2 Tc 2.67
Tc (0.5000, 0.5000, 0.5000)  6 Sb 2.67
Sb (0.3385, 0.1802, 0.8417)  2 Tc 2.67
Sb (0.8417, 0.3385, 0.1802)  2 Tc 2.67
Tc (0.0000, 0.0000, 0.5000)  6 Sb 2.67
Sb (0.8198, 0.1583, 0.6615)  2 Tc 2.67
Sb (0.1583, 0.6615, 0.8198)  2 Tc 2.67
Sb (0.6615, 0.8198, 0.1583)  2 Tc 2.67
Na (0.0000, 0.0000, 0.0000)  12 Sb 3.55
Sb (0.6615, 0.5033, 0.8417)  2 Tc 2.67
Tc (0.0000, 0.5000, 0.0000)  6 Sb 2.67


(4)
VASP calculation (PBE) on PuZnSi2 after structural relaxation.

Results
Formation energy (no corrections) (kJ per mole of atoms): -32
Spin magnetization (μB/f.u.): 0.03

Unit cell a=4.0827 b=10.6066 c=13.2858 alpha=90.00 beta=90.00 gamma=90.00
With the nearest neighbours (Å) after each atom.
Positions (direct):
Si (0.2500, 0.2424, 0.7932)  2 Si 2.33-2.41, 2 Zn 2.51
Zn (0.2500, 0.6557, 0.7919)  5 Si 2.48-2.69
Zn (0.2500, 0.4540, 0.0581)  4 Si 2.47-2.54, 2 Zn 2.74
Si (0.7500, 0.7686, 0.8874)  2 Si 2.32-2.41, 1 Zn 2.47
Zn (0.7500, 0.5460, 0.9419)  4 Si 2.47-2.54, 2 Zn 2.74
Si (0.7500, 0.5391, 0.4701)  3 Si 2.32-2.34
Si (0.2500, 0.0391, 0.0299)  3 Si 2.32-2.34
Si (0.2500, 0.4416, 0.8675)  1 Si 2.33, 4 Zn 2.48-2.54
Pu (0.7500, 0.2596, 0.4502)  9 Si 2.92-3.15, 1 Zn 3.24
Pu (0.2500, 0.7404, 0.5498)  9 Si 2.92-3.15, 1 Zn 3.24
Si (0.2500, 0.2314, 0.1126)  2 Si 2.32-2.41, 1 Zn 2.47
Si (0.2500, 0.4609, 0.5299)  3 Si 2.32-2.34
Si (0.7500, 0.7576, 0.2068)  2 Si 2.33-2.41, 2 Zn 2.51
Zn (0.7500, 0.3443, 0.2081)  5 Si 2.48-2.69
Pu (0.2500, 0.5469, 0.3032)  10 Si 3.01-3.29, 3 Zn 3.16-3.22
Si (0.2500, 0.0584, 0.3675)  1 Si 2.33, 4 Zn 2.48-2.54
Si (0.7500, 0.5584, 0.1325)  1 Si 2.33, 4 Zn 2.48-2.54
Pu (0.2500, 0.7596, 0.0498)  9 Si 2.92-3.15, 1 Zn 3.24
Pu (0.2500, 0.9531, 0.8032)  10 Si 3.01-3.29, 3 Zn 3.16-3.22
Si (0.2500, 0.2686, 0.6126)  2 Si 2.32-2.41, 1 Zn 2.47
Zn (0.2500, 0.0460, 0.5581)  4 Si 2.47-2.54, 2 Zn 2.74
Si (0.7500, 0.9609, 0.9701)  3 Si 2.32-2.34
Si (0.2500, 0.2576, 0.2932)  2 Si 2.33-2.41, 2 Zn 2.51
Zn (0.2500, 0.8443, 0.2919)  5 Si 2.48-2.69
Pu (0.7500, 0.0469, 0.1968)  10 Si 3.01-3.29, 3 Zn 3.16-3.22
Si (0.7500, 0.7424, 0.7068)  2 Si 2.33-2.41, 2 Zn 2.51
Zn (0.7500, 0.1557, 0.7081)  5 Si 2.48-2.69
Zn (0.7500, 0.9540, 0.4419)  4 Si 2.47-2.54, 2 Zn 2.74
Si (0.7500, 0.9416, 0.6325)  1 Si 2.33, 4 Zn 2.48-2.54
Pu (0.7500, 0.2404, 0.9502)  9 Si 2.92-3.15, 1 Zn 3.24
Pu (0.7500, 0.4531, 0.6968)  10 Si 3.01-3.29, 3 Zn 3.16-3.22
Si (0.7500, 0.7314, 0.3874)  2 Si 2.32-2.41, 1 Zn 2.47


(5)
VASP calculation (PBE) on YOs2Au2 after structural relaxation.

Results
Calculated formation energy (eV per atom): 0.164
Spin magnetization (μB/f.u.): 0.00

Unit cell a=7.3263 b=7.3263 c=7.3263 alpha=150.36 beta=150.36 gamma=42.42
With the nearest neighbours (Å) after each atom.
Positions (direct):
Au (0.5998, 0.5998, 0.0000)  1 Au 2.73, 4 Os 2.78, 4 Y 2.98
Os (0.7500, 0.2500, 0.5000)  4 Os 2.65, 4 Au 2.78
Au (0.4002, 0.4002, 0.0000)  1 Au 2.73, 4 Os 2.78, 4 Y 2.98
Os (0.2500, 0.7500, 0.5000)  4 Os 2.65, 4 Au 2.78
Y (0.0000, 0.0000, 0.0000)  8 Au 2.98


(6)
VASP calculation (PBE) on Zr4AsP3 after structural relaxation.

Results
Calculated formation energy (eV per atom): -1.280
Spin magnetization (μB/f.u.): 0.00

Unit cell a=3.7652 b=3.7652 c=12.6402 alpha=81.43 beta=81.43 gamma=60.00
With the nearest neighbours (Å) after each atom.
Positions (direct):
Zr (0.8760, 0.8760, 0.3721)  6 P 2.62-2.69
Zr (0.6203, 0.6203, 0.1391)  3 P 2.61, 3 As 2.78
P (0.5000, 0.5000, 0.5000)  6 Zr 2.69
Zr (0.3797, 0.3797, 0.8609)  3 P 2.61, 3 As 2.78
As (0.0000, 0.0000, 0.0000)  6 Zr 2.78
P (0.2485, 0.2485, 0.2546)  6 Zr 2.61-2.62
P (0.7515, 0.7515, 0.7454)  6 Zr 2.61-2.62
Zr (0.1240, 0.1240, 0.6279)  6 P 2.62-2.69


(7)
VASP calculation (PBE) on Na10B13C7 after structural relaxation.

Results
Calculated formation energy (eV per atom): 0.106
Spin magnetization (μB/f.u.): 0.00
Polymorph energy (0 for the lowest one) (kJ/mol of atoms): 2.0

Unit cell a=7.6258 b=7.6258 c=9.0120 alpha=107.64 beta=107.64 gamma=37.90
With the nearest neighbours (Å) after each atom.
Positions (direct):
B (0.7196, 0.3625, 0.2499)  1 C 1.56, 2 B 1.71-1.72
Na (0.5958, 0.6029, 0.9968)  3 C 2.67-2.69, 9 B 2.67-2.82, 6 Na 2.85-2.89
B (0.0836, 0.4165, 0.7506)  3 C 1.65-1.66
B (0.8835, 0.2164, 0.7494)  3 C 1.65-1.66
C (0.6168, 0.2830, 0.7494)  3 B 1.65-1.66
B (0.9375, 0.5804, 0.2501)  1 C 1.56, 2 B 1.71-1.72
B (0.5817, 0.9189, 0.2501)  3 B 1.66-1.74
C (0.1922, 0.5118, 0.2500)  3 B 1.56-1.60
Na (0.8002, 0.7984, 0.9959)  5 C 2.66-2.74, 7 B 2.66-2.74, 6 Na 2.86-2.89
C (0.7882, 0.1078, 0.2500)  3 B 1.56-1.60
Na (0.1983, 0.2005, 0.9974)  4 C 2.68-2.73, 8 B 2.68-2.76, 6 Na 2.85-2.88
B (0.4834, 0.8166, 0.7500)  3 C 1.65-1.66
C (0.4171, 0.0833, 0.7512)  3 B 1.65-1.66
C (0.8169, 0.4831, 0.7500)  3 B 1.65-1.66
C (0.2167, 0.8829, 0.7488)  3 B 1.65-1.66
B (0.1070, 0.7815, 0.2500)  2 C 1.60, 1 B 1.74
Na (0.3998, 0.3981, 0.9957)  7 B 2.66-2.74, 5 C 2.67-2.75, 6 Na 2.86-2.89
Na (0.2994, 0.3015, 0.5028)  4 C 2.68-2.73, 8 B 2.68-2.77, 6 Na 2.85-2.88
B (0.3811, 0.7183, 0.2499)  3 B 1.66-1.74
C (0.0170, 0.6832, 0.7506)  3 B 1.65-1.66
B (0.9644, 0.3356, 0.2500)  3 B 1.71-1.74
Na (0.9019, 0.9002, 0.5043)  7 B 2.66-2.74, 5 C 2.67-2.75, 6 Na 2.86-2.89
Na (0.6971, 0.7042, 0.5032)  3 C 2.67-2.69, 9 B 2.67-2.82, 6 Na 2.85-2.89
Na (0.0995, 0.1017, 0.5026)  4 C 2.68-2.73, 8 B 2.68-2.76, 6 Na 2.85-2.88
Na (0.5016, 0.4998, 0.5041)  5 C 2.66-2.74, 7 B 2.66-2.74, 6 Na 2.86-2.89
B (0.2834, 0.6164, 0.7495)  3 C 1.65-1.66
B (0.5185, 0.1930, 0.2500)  2 C 1.60, 1 B 1.74
Na (0.9985, 0.0006, 0.9972)  4 C 2.68-2.73, 8 B 2.68-2.77, 6 Na 2.85-2.88
B (0.6836, 0.0166, 0.7505)  3 C 1.65-1.66
B (0.3153, 0.9847, 0.2500)  3 B 1.66-1.74


(8)
VASP calculation (PBE) on Er6PdRu2 after structural relaxation.

Results
Calculated formation energy (eV per atom): -0.399
Spin magnetization (μB/f.u.): 0.00

Unit cell a=6.5426 b=7.3487 c=9.3645 alpha=90.00 beta=87.63 gamma=90.00
With the nearest neighbours (Å) after each atom.
Positions (direct):
Ru (0.9635, 0.3805, 0.7353)  6 Er 2.74-3.03
Er (0.8530, 0.6768, 0.9260)  1 Pd 2.71, 2 Ru 2.89-3.01
Er (0.3241, 0.8348, 0.0680)  1 Pd 2.78, 2 Ru 2.79-3.03
Er (0.1759, 0.3348, 0.4320)  1 Pd 2.78, 2 Ru 2.79-3.03
Er (0.6659, 0.4465, 0.2624)  2 Ru 2.74-2.76, 1 Pd 2.76
Ru (0.5365, 0.8805, 0.7647)  6 Er 2.74-3.03
Ru (0.4635, 0.1195, 0.2353)  6 Er 2.74-3.03
Ru (0.0365, 0.6195, 0.2647)  6 Er 2.74-3.03
Er (0.3530, 0.8232, 0.4260)  1 Pd 2.71, 2 Ru 2.89-3.01
Pd (0.0000, 0.0000, 0.5000)  6 Er 2.71-2.78
Pd (0.5000, 0.5000, 0.0000)  6 Er 2.71-2.78
Er (0.8241, 0.6652, 0.5680)  1 Pd 2.78, 2 Ru 2.79-3.03
Er (0.8341, 0.9465, 0.2376)  2 Ru 2.74-2.76, 1 Pd 2.76
Er (0.3341, 0.5535, 0.7376)  2 Ru 2.74-2.76, 1 Pd 2.76
Er (0.1470, 0.3232, 0.0740)  1 Pd 2.71, 2 Ru 2.89-3.01
Er (0.6470, 0.1768, 0.5740)  1 Pd 2.71, 2 Ru 2.89-3.01
Er (0.1659, 0.0535, 0.7624)  2 Ru 2.74-2.76, 1 Pd 2.76
Er (0.6759, 0.1652, 0.9320)  1 Pd 2.78, 2 Ru 2.79-3.03


(9)
VASP calculation (PBE) on LiNb3Cd after structural relaxation.

Results
Calculated formation energy (eV per atom): 1.976
Spin magnetization (μB/f.u.): 1.79
Polymorph energy (0 for the lowest one) (kJ/mol of atoms): 97.2

Unit cell a=5.0766 b=5.0766 c=5.0766 alpha=90.00 beta=90.00 gamma=90.00
With the nearest neighbours (Å) after each atom.
Positions (direct):
Nb (0.0000, 0.5000, 0.0000)  2 Cd 2.54
Li (0.5000, 0.5000, 0.5000)  12 Nb 3.59
Nb (0.0000, 0.0000, 0.5000)  2 Cd 2.54
Nb (0.5000, 0.0000, 0.0000)  2 Cd 2.54
Cd (0.0000, 0.0000, 0.0000)  6 Nb 2.54


(10)
VASP calculation (PBE) on MgCd2S after structural relaxation.

Results
Formation energy (no corrections) (kJ per mole of atoms): -26
Spin magnetization (μB/f.u.): 0.00

Unit cell a=8.3767 b=8.3767 c=6.4798 alpha=49.73 beta=49.73 gamma=90.00
With the nearest neighbours (Å) after each atom.
Positions (direct):
Cd (0.8750, 0.9253, 0.7500)  2 Cd 2.76, 2 S 2.76
Cd (0.0747, 0.6250, 0.2500)  2 Cd 2.76, 2 S 2.76
S (0.7500, 0.2500, 0.5000)  2 Mg 2.63, 4 Cd 2.76
S (0.0000, 0.0000, 0.0000)  2 Mg 2.63, 4 Cd 2.76
Cd (0.6753, 0.1250, 0.2500)  2 Cd 2.76, 2 S 2.76
Cd (0.3750, 0.3247, 0.7500)  2 Cd 2.76, 2 S 2.76
Mg (0.5000, 0.5000, 0.0000)  2 S 2.63
Mg (0.2500, 0.7500, 0.5000)  2 S 2.63


Q: spin magnetization of number 3 (NaTc4Sb12)?
A: 1.83 μB/f.u.